#w
{
  "formula": "RbFe",
  "functional": "PBE-GGA",
  "state": "relaxed",
  "volume_a3_per_atom": 63.39,
  "m_tot_mub_per_atom": 1.5031,
  "lattice_angstrom": [[0.0000, 3.9872, 3.9872], [3.9872, 0.0000, 3.9872], [3.9872, 3.9872, 0.0000]],
  "species": ["Rb", "Fe"],
  "fractional_positions": [[0.2500, 0.2500, 0.2500], [0.0000, 0.0000, 0.0000]]
}

=====

#x
{
  "formula": "RbFe",
  "functional": "PBE-GGA",
  "state": "relaxed",
  "volume_a3_per_atom": 30.87,
  "m_tot_mub_per_atom": 1.5259,
  "lattice_angstrom": [[4.6390, 0.0000, 0.0000], [-2.3195, 2.4676, 0.0000], [0.0000, 0.0000, 5.3939]],
  "species": ["Fe", "Rb"],
  "fractional_positions": [[0.7475, 0.4950, 0.7500], [0.2525, 0.5050, 0.2500]]
}

=====

#y
{
  "formula": "RbFe",
  "functional": "PBE-GGA",
  "state": "relaxed",
  "volume_a3_per_atom": 36.29,
  "m_tot_mub_per_atom": 1.3557,
  "lattice_angstrom": [[4.3111, 0.0000, 0.0000], [0.0000, 3.6829, 0.0000], [0.0000, 0.0000, 9.1414]],
  "species": ["Rb", "Rb", "Fe", "Fe"],
  "fractional_positions": [[0.2500, 0.5000, 0.7159], [0.7500, 0.5000, 0.2841], [0.2500, 0.0000, 0.0389], [0.7500, 0.0000, 0.9611]]
}

=====

#z
{
  "formula": "RbFe",
  "functional": "PBE-GGA",
  "state": "relaxed",
  "volume_a3_per_atom": 31.15,
  "m_tot_mub_per_atom": 1.3350,
  "lattice_angstrom": [[5.6511, 0.0000, 0.0000], [-2.8256, 4.8940, 0.0000], [0.0000, 0.0000, 4.5053]],
  "species": ["Rb", "Rb", "Fe", "Fe"],
  "fractional_positions": [[0.6667, 0.3333, 0.7500], [0.3333, 0.6667, 0.2500], [0.0000, 0.0000, 0.0000], [0.0000, 0.0000, 0.5000]]
}

=====

#y is the most stable structure; the next one sits 0.043 eV/atom above it.

=====

#w
{
  "formula": "RbFe2",
  "functional": "PBE-GGA",
  "state": "relaxed",
  "volume_a3_per_atom": 35.79,
  "m_tot_mub_per_atom": 2.1625,
  "lattice_angstrom": [[-2.7737, -0.7125, 5.0076], [5.0548, -0.1848, 2.7735], [-0.2038, 6.3999, 0.7977]],
  "species": ["Fe", "Fe", "Fe", "Fe", "Rb", "Rb"],
  "fractional_positions": [[0.3746, 0.3746, 0.0000], [0.8746, 0.1254, 0.5000], [0.1254, 0.8746, 0.5000], [0.6254, 0.6254, 0.0000], [0.5000, 0.5000, 0.5000], [0.0000, 0.0000, 0.0000]]
}

=====

#x
{
  "formula": "RbFe2",
  "functional": "PBE-GGA",
  "state": "relaxed",
  "volume_a3_per_atom": 19.36,
  "m_tot_mub_per_atom": 1.6931,
  "lattice_angstrom": [[-5.4684, -0.0050, 0.2963], [-2.6475, 4.4335, 1.8237], [-2.9330, 3.0580, -3.4695]],
  "species": ["Fe", "Fe", "Fe", "Fe", "Rb", "Rb"],
  "fractional_positions": [[0.6250, 0.6250, 0.1250], [0.1250, 0.6250, 0.6250], [0.6250, 0.6250, 0.6250], [0.6250, 0.1250, 0.6250], [0.2500, 0.2500, 0.2500], [0.0000, 0.0000, 0.0000]]
}

=====

#x is the most stable structure; the next one sits 0.672 eV/atom above it.

=====

#w
{
  "formula": "RbFeRe",
  "functional": "PBE-GGA",
  "state": "relaxed",
  "volume_a3_per_atom": 21.93,
  "m_tot_mub_per_atom": 0.6229,
  "lattice_angstrom": [[0.0000, 3.2043, 3.2043], [3.2043, 0.0000, 3.2043], [3.2043, 3.2043, 0.0000]],
  "species": ["Fe", "Re", "Rb"],
  "fractional_positions": [[0.2500, 0.2500, 0.2500], [0.0000, 0.0000, 0.0000], [0.7500, 0.7500, 0.7500]]
}

=====

#x
{
  "formula": "RbFeRe",
  "functional": "PBE-GGA",
  "state": "relaxed",
  "volume_a3_per_atom": 28.02,
  "m_tot_mub_per_atom": 2.1574,
  "lattice_angstrom": [[0.0000, 3.4767, 3.4767], [3.4767, 0.0000, 3.4767], [3.4767, 3.4767, 0.0000]],
  "species": ["Fe", "Rb", "Re"],
  "fractional_positions": [[0.2500, 0.2500, 0.2500], [0.0000, 0.0000, 0.0000], [0.7500, 0.7500, 0.7500]]
}

=====

#w is the most stable structure; the next one sits 0.835 eV/atom above it.

=====

#w
{
  "formula": "RbFeSeS",
  "functional": "PBE-GGA",
  "state": "relaxed",
  "volume_a3_per_atom": 27.56,
  "m_tot_mub_per_atom": 0.6679,
  "lattice_angstrom": [[3.6515, -5.9023, 0.0000], [3.6515, 5.9023, 0.0000], [-2.0565, 0.0000, 5.1146]],
  "species": ["Rb", "Rb", "Fe", "Fe", "S", "S", "Se", "Se"],
  "fractional_positions": [[0.3638, 0.6507, 0.7586], [0.6507, 0.3638, 0.2586], [0.9938, 0.9911, 0.2449], [0.9911, 0.9938, 0.7449], [0.7128, 0.9082, 0.4033], [0.9082, 0.7128, 0.9033], [0.0786, 0.3010, 0.0931], [0.3010, 0.0786, 0.5931]]
}

=====

#x
{
  "formula": "RbFeSeS",
  "functional": "PBE-GGA",
  "state": "relaxed",
  "volume_a3_per_atom": 27.68,
  "m_tot_mub_per_atom": 0.6643,
  "lattice_angstrom": [[-0.5079, -0.9780, 7.2013], [-7.0754, 0.8556, 1.5095], [3.9214, -4.3777, -4.3048]],
  "species": ["Fe", "Fe", "Rb", "Rb", "Se", "Se", "S", "S"],
  "fractional_positions": [[0.0000, 0.2434, 0.2434], [0.0000, 0.7566, 0.7566], [0.3186, 0.8186, 0.5000], [0.6814, 0.1814, 0.5000], [0.2650, 0.5000, 0.7650], [0.7350, 0.5000, 0.2350], [0.1492, 0.1492, 0.0000], [0.8508, 0.8508, 0.0000]]
}

=====

#x is the most stable structure; the next one sits 0.011 eV/atom above it.

=====

#w
{
  "formula": "RbSmFeS3",
  "functional": "PBE-GGA",
  "state": "relaxed",
  "volume_a3_per_atom": 27.84,
  "m_tot_mub_per_atom": 0.6666,
  "lattice_angstrom": [[9.0713, 0.0000, 0.0000], [0.0000, 4.0299, 0.0000], [-3.0709, 0.0000, 9.1371]],
  "species": ["S", "S", "S", "S", "S", "S", "Fe", "Fe", "Rb", "Rb", "Sm", "Sm"],
  "fractional_positions": [[0.1085, 0.2500, 0.3381], [0.5391, 0.2500, 0.3461], [0.8915, 0.7500, 0.6619], [0.1904, 0.7500, 0.0383], [0.4609, 0.7500, 0.6539], [0.8096, 0.2500, 0.9617], [0.9249, 0.7500, 0.9068], [0.0751, 0.2500, 0.0932], [0.7847, 0.7500, 0.2539], [0.2153, 0.2500, 0.7461], [0.3304, 0.7500, 0.3527], [0.6696, 0.2500, 0.6473]]
}

=====

#x
{
  "formula": "RbSmFeS3",
  "functional": "PBE-GGA",
  "state": "relaxed",
  "volume_a3_per_atom": 26.65,
  "m_tot_mub_per_atom": 0.6658,
  "lattice_angstrom": [[2.0264, -7.3823, 0.0000], [2.0264, 7.3823, 0.0000], [0.0000, 0.0000, 10.6873]],
  "species": ["Sm", "Sm", "S", "S", "S", "S", "S", "S", "Rb", "Rb", "Fe", "Fe"],
  "fractional_positions": [[0.0000, 0.0000, 0.5000], [0.0000, 0.0000, 0.0000], [0.3807, 0.6193, 0.5732], [0.6193, 0.3807, 0.4268], [0.0559, 0.9441, 0.7500], [0.9441, 0.0559, 0.2500], [0.6193, 0.3807, 0.0732], [0.3807, 0.6193, 0.9268], [0.2583, 0.7417, 0.2500], [0.7417, 0.2583, 0.7500], [0.5315, 0.4685, 0.2500], [0.4685, 0.5315, 0.7500]]
}

=====

#w is the most stable structure; the next one sits 0.008 eV/atom above it.

=====

#w
{
  "formula": "RbSmFeTe3",
  "functional": "PBE-GGA",
  "state": "relaxed",
  "volume_a3_per_atom": 34.44,
  "m_tot_mub_per_atom": 0.6654,
  "lattice_angstrom": [[-8.5392, 3.7525, -5.9239], [-2.8554, -2.2533, 2.6887], [-1.0784, 13.1949, 9.9130]],
  "species": ["Sm", "Sm", "Sm", "Sm", "Te", "Te", "Te", "Te", "Te", "Te", "Te", "Te", "Te", "Te", "Te", "Te", "Fe", "Fe", "Fe", "Fe", "Rb", "Rb", "Rb", "Rb"],
  "fractional_positions": [[0.3398, 0.2500, 0.0615], [0.1602, 0.7500, 0.5615], [0.6602, 0.7500, 0.9385], [0.8398, 0.2500, 0.4385], [0.2245, 0.2500, 0.2281], [0.2755, 0.7500, 0.7281], [0.9727, 0.2500, 0.6105], [0.1776, 0.7500, 0.9867], [0.7245, 0.2500, 0.2719], [0.3224, 0.2500, 0.4867], [0.6776, 0.7500, 0.5133], [0.8224, 0.2500, 0.0133], [0.0273, 0.7500, 0.3895], [0.7755, 0.7500, 0.7719], [0.4727, 0.2500, 0.8895], [0.5273, 0.7500, 0.1105], [0.3456, 0.7500, 0.8754], [0.1544, 0.2500, 0.3754], [0.8456, 0.7500, 0.6246], [0.6544, 0.2500, 0.1246], [0.0379, 0.2500, 0.8290], [0.9621, 0.7500, 0.1710], [0.4621, 0.7500, 0.3290], [0.5379, 0.2500, 0.6710]]
}

=====

#x
{
  "formula": "RbSmFeTe3",
  "functional": "PBE-GGA",
  "state": "relaxed",
  "volume_a3_per_atom": 36.53,
  "m_tot_mub_per_atom": 0.6363,
  "lattice_angstrom": [[16.9612, 0.0000, 0.0000], [0.0000, 4.3630, 0.0000], [0.0000, 0.0000, 11.8463]],
  "species": ["Te", "Te", "Te", "Te", "Te", "Te", "Te", "Te", "Te", "Te", "Te", "Te", "Fe", "Fe", "Fe", "Fe", "Sm", "Sm", "Sm", "Sm", "Rb", "Rb", "Rb", "Rb"],
  "fractional_positions": [[0.6010, 0.7500, 0.0759], [0.5851, 0.2500, 0.3829], [0.1237, 0.2500, 0.7726], [0.3763, 0.7500, 0.2726], [0.6237, 0.2500, 0.7274], [0.3990, 0.2500, 0.9241], [0.4149, 0.7500, 0.6171], [0.9149, 0.7500, 0.8829], [0.0851, 0.2500, 0.1171], [0.8763, 0.7500, 0.2274], [0.1010, 0.7500, 0.4241], [0.8990, 0.2500, 0.5759], [0.9923, 0.7500, 0.0748], [0.4923, 0.7500, 0.4252], [0.5077, 0.2500, 0.5748], [0.0077, 0.2500, 0.9252], [0.0180, 0.7500, 0.6570], [0.4820, 0.2500, 0.1570], [0.5180, 0.7500, 0.8430], [0.9820, 0.2500, 0.3430], [0.7665, 0.2500, 0.0254], [0.2665, 0.2500, 0.4746], [0.7335, 0.7500, 0.5254], [0.2335, 0.7500, 0.9746]]
}

=====

#y
{
  "formula": "RbSmFeTe3",
  "functional": "PBE-GGA",
  "state": "relaxed",
  "volume_a3_per_atom": 35.58,
  "m_tot_mub_per_atom": 0.6668,
  "lattice_angstrom": [[11.7163, 0.0000, 0.0000], [0.0000, 4.4378, 0.0000], [0.0000, 0.0000, 16.4218]],
  "species": ["Te", "Te", "Te", "Te", "Te", "Te", "Te", "Te", "Te", "Te", "Te", "Te", "Rb", "Rb", "Rb", "Rb", "Fe", "Fe", "Fe", "Fe", "Sm", "Sm", "Sm", "Sm"],
  "fractional_positions": [[0.5526, 0.7500, 0.1282], [0.7376, 0.2500, 0.3139], [0.9156, 0.7500, 0.1211], [0.7624, 0.7500, 0.8139], [0.4474, 0.2500, 0.8718], [0.4156, 0.7500, 0.3789], [0.0526, 0.7500, 0.3718], [0.2624, 0.7500, 0.6861], [0.5844, 0.2500, 0.6211], [0.9474, 0.2500, 0.6282], [0.2376, 0.2500, 0.1861], [0.0844, 0.2500, 0.8789], [0.7706, 0.7500, 0.4957], [0.2706, 0.7500, 0.0043], [0.2294, 0.2500, 0.5043], [0.7294, 0.2500, 0.9957], [0.2377, 0.7500, 0.2819], [0.7623, 0.2500, 0.7181], [0.2623, 0.2500, 0.7819], [0.7377, 0.7500, 0.2181], [0.5145, 0.7500, 0.7456], [0.0145, 0.7500, 0.7544], [0.9855, 0.2500, 0.2456], [0.4855, 0.2500, 0.2544]]
}

=====

#z
{
  "formula": "RbSmFeTe3",
  "functional": "PBE-GGA",
  "state": "relaxed",
  "volume_a3_per_atom": 32.92,
  "m_tot_mub_per_atom": 0.6668,
  "lattice_angstrom": [[-4.9427, 10.4130, 4.4545], [-2.8107, 0.2447, -3.6909], [-9.4759, -7.3765, 6.7271]],
  "species": ["Sm", "Sm", "Sm", "Sm", "Te", "Te", "Te", "Te", "Te", "Te", "Te", "Te", "Te", "Te", "Te", "Te", "Rb", "Rb", "Rb", "Rb", "Fe", "Fe", "Fe", "Fe"],
  "fractional_positions": [[0.9771, 0.5000, 0.3230], [0.5230, 0.0000, 0.8230], [0.4770, 0.5000, 0.1770], [0.0229, 0.0000, 0.6770], [0.4501, 0.0000, 0.3321], [0.6009, 0.0000, 0.0629], [0.7851, 0.0000, 0.7987], [0.8991, 0.5000, 0.5629], [0.3991, 0.5000, 0.9371], [0.1009, 0.0000, 0.4371], [0.2851, 0.0000, 0.7013], [0.9501, 0.0000, 0.1679], [0.5499, 0.5000, 0.6679], [0.0499, 0.5000, 0.8321], [0.7149, 0.5000, 0.2987], [0.2149, 0.5000, 0.2013], [0.6798, 0.0000, 0.4997], [0.3202, 0.5000, 0.5003], [0.1798, 0.0000, 0.0003], [0.8202, 0.5000, 0.9997], [0.7442, 0.0000, 0.2062], [0.2558, 0.5000, 0.7938], [0.2442, 0.0000, 0.2938], [0.7558, 0.5000, 0.7062]]
}

=====

#x is the most stable structure; the next one sits 0.011 eV/atom above it.

=====

#w
{
  "formula": "RbSmFeTe3",
  "functional": "PBE-GGA",
  "state": "relaxed",
  "volume_a3_per_atom": 37.07,
  "m_tot_mub_per_atom": 0.6388,
  "lattice_angstrom": [[9.8324, 0.0000, 0.0000], [0.0000, 4.3594, 0.0000], [-3.9941, 0.0000, 10.3779]],
  "species": ["Rb", "Rb", "Te", "Te", "Te", "Te", "Te", "Te", "Sm", "Sm", "Fe", "Fe"],
  "fractional_positions": [[0.7365, 0.2500, 0.7731], [0.2635, 0.7500, 0.2269], [0.2822, 0.2500, 0.9537], [0.5855, 0.2500, 0.3226], [0.0474, 0.2500, 0.3464], [0.4145, 0.7500, 0.6774], [0.7178, 0.7500, 0.0463], [0.9526, 0.7500, 0.6536], [0.8236, 0.7500, 0.3552], [0.1764, 0.2500, 0.6448], [0.4345, 0.7500, 0.9218], [0.5655, 0.2500, 0.0782]]
}

=====

#x
{
  "formula": "RbSmFeTe3",
  "functional": "PBE-GGA",
  "state": "relaxed",
  "volume_a3_per_atom": 35.67,
  "m_tot_mub_per_atom": 0.6655,
  "lattice_angstrom": [[8.2777, -2.2151, 0.0000], [8.2777, 2.2151, 0.0000], [0.0000, 0.0000, 11.6714]],
  "species": ["Sm", "Sm", "Te", "Te", "Te", "Te", "Te", "Te", "Fe", "Fe", "Rb", "Rb"],
  "fractional_positions": [[0.0000, 0.0000, 0.0000], [0.0000, 0.0000, 0.5000], [0.6250, 0.6250, 0.5686], [0.3750, 0.3750, 0.0686], [0.0658, 0.0658, 0.2500], [0.9342, 0.9342, 0.7500], [0.6250, 0.6250, 0.9314], [0.3750, 0.3750, 0.4314], [0.5305, 0.5305, 0.7500], [0.4695, 0.4695, 0.2500], [0.2534, 0.2534, 0.7500], [0.7466, 0.7466, 0.2500]]
}

=====

#y
{
  "formula": "RbSmFeTe3",
  "functional": "PBE-GGA",
  "state": "relaxed",
  "volume_a3_per_atom": 34.49,
  "m_tot_mub_per_atom": 0.4999,
  "lattice_angstrom": [[8.9239, -2.4102, 0.0000], [8.9239, 2.4102, 0.0000], [-0.4739, 0.0000, 9.6217]],
  "species": ["Rb", "Rb", "Sm", "Sm", "Te", "Te", "Te", "Te", "Te", "Te", "Fe", "Fe"],
  "fractional_positions": [[0.8573, 0.8573, 0.9121], [0.1427, 0.1427, 0.0879], [0.1628, 0.1628, 0.5884], [0.8372, 0.8372, 0.4116], [0.3741, 0.3741, 0.2102], [0.6259, 0.6259, 0.7898], [0.0000, 0.0000, 0.5000], [0.5000, 0.5000, 0.0000], [0.6650, 0.6650, 0.3655], [0.3350, 0.3350, 0.6345], [0.4945, 0.4945, 0.6204], [0.5055, 0.5055, 0.3796]]
}

=====

#w is the most stable structure; the next one sits 0.009 eV/atom above it.

=====

#w
{
  "formula": "RbSrFe",
  "functional": "PBE-GGA",
  "state": "relaxed",
  "volume_a3_per_atom": 42.31,
  "m_tot_mub_per_atom": 0.9358,
  "lattice_angstrom": [[-4.6972, -1.7178, 2.6090], [-0.9562, 1.4881, 5.3566], [-4.0713, 3.7117, 1.2124]],
  "species": ["Fe", "Rb", "Sr"],
  "fractional_positions": [[0.2500, 0.2500, 0.2500], [0.0000, 0.0000, 0.0000], [0.7500, 0.7500, 0.7500]]
}

=====

#x
{
  "formula": "RbSrFe",
  "functional": "PBE-GGA",
  "state": "relaxed",
  "volume_a3_per_atom": 44.29,
  "m_tot_mub_per_atom": 0.9613,
  "lattice_angstrom": [[2.1868, -5.1309, 1.3027], [-2.9659, -4.7580, -1.1703], [1.7490, -3.5110, -4.1736]],
  "species": ["Fe", "Sr", "Rb"],
  "fractional_positions": [[0.0000, 0.0000, 0.0000], [0.7500, 0.7500, 0.7500], [0.2500, 0.2500, 0.2500]]
}

=====

#x is the most stable structure; the next one sits 0.350 eV/atom above it.

=====

#w
{
  "formula": "RbTaFe",
  "functional": "PBE-GGA",
  "state": "relaxed",
  "volume_a3_per_atom": 22.01,
  "m_tot_mub_per_atom": 0.0393,
  "lattice_angstrom": [[3.2584, -3.1481, 0.2401], [2.3855, -0.5086, 3.8257], [-0.5960, -3.6902, 2.5715]],
  "species": ["Rb", "Ta", "Fe"],
  "fractional_positions": [[0.2500, 0.2500, 0.2500], [0.7500, 0.7500, 0.7500], [0.0000, 0.0000, 0.0000]]
}

=====

#x
{
  "formula": "RbTaFe",
  "functional": "PBE-GGA",
  "state": "relaxed",
  "volume_a3_per_atom": 27.99,
  "m_tot_mub_per_atom": 0.6894,
  "lattice_angstrom": [[2.7898, 1.7176, 3.6641], [-1.7772, 0.1485, 4.5802], [1.7421, -3.0781, 3.4131]],
  "species": ["Rb", "Ta", "Fe"],
  "fractional_positions": [[0.0000, 0.0000, 0.0000], [0.7500, 0.7500, 0.7500], [0.2500, 0.2500, 0.2500]]
}

=====

#w is the most stable structure; the next one sits 1.072 eV/atom above it.